*a*
DFT (PBE) results for an optimized crystal structure of KW4.

- symmetry = Im-3m, No. 229
- magnetic moment (Bohr magnetons per cell) = 0.000

Lattice parameters (Å, degrees): 5.0466 5.0466 5.0466 109.47 109.47 109.47
Closest atoms and distances in Å follow each position.
Sites, in units of the cell vectors:
W  0.5000  0.5000  0.5000  2 K 2.52
W  0.5000  0.0000  0.0000  2 K 2.52
W  0.0000  0.5000  0.0000  2 K 2.52
W  0.0000  0.0000  0.5000  2 K 2.52
K  0.0000  0.0000  0.0000  8 W 2.52

***

*b*
DFT (PBE) results for an optimized crystal structure of KW4.

- symmetry = Pm-3m, No. 221
- magnetic moment (Bohr magnetons per cell) = 0.000

Lattice parameters (Å, degrees): 4.4523 4.4523 4.4523 90.00 90.00 90.00
Closest atoms and distances in Å follow each position.
Sites, in units of the cell vectors:
K  0.5000  0.5000  0.5000  6 W 2.23
W  0.0000  0.0000  0.0000  12 W 3.15
W  0.5000  0.0000  0.5000  2 K 2.23
W  0.5000  0.5000  0.0000  2 K 2.23
W  0.0000  0.5000  0.5000  2 K 2.23

***

*c*
DFT (PBE) results for an optimized crystal structure of KW4.

- symmetry = I4/m, No. 87
- magnetic moment (Bohr magnetons per cell) = 0.000

Lattice parameters (Å, degrees): 5.0104 5.0104 5.0104 102.64 102.64 124.23
Closest atoms and distances in Å follow each position.
Sites, in units of the cell vectors:
W  0.4359  0.1941  0.6300  3 W 2.56-2.77
W  0.8059  0.4359  0.2419  3 W 2.56-2.77
K  0.0000  0.0000  0.0000  12 W 2.99-3.05
W  0.1941  0.5641  0.7581  3 W 2.56-2.77
W  0.5641  0.8059  0.3700  3 W 2.56-2.77

***

Sorted by energy, starting with the most stable: *c*, *a*, *b*.

***

*a*
DFT (PBE) results for an optimized crystal structure of K2W3.

- symmetry = P-3m1, No. 164
- magnetic moment (Bohr magnetons per cell) = 0.594

Lattice parameters (Å, degrees): 3.0409 3.0409 14.5305 90.00 90.00 120.00
Closest atoms and distances in Å follow each position.
Sites, in units of the cell vectors:
K  0.3333  0.6667  0.7881  6 K 3.04
K  0.6667  0.3333  0.2119  6 K 3.04
W  0.0000  0.0000  0.0000  6 W 3.04
W  0.3333  0.6667  0.4382  3 W 2.51
W  0.6667  0.3333  0.5618  3 W 2.51

***

*b*
DFT (PBE) results for an optimized crystal structure of K2W3.

- symmetry = R-3m, No. 166
- magnetic moment (Bohr magnetons per cell) = 4.152

Lattice parameters (Å, degrees): 11.7918 11.7918 11.7918 20.27 20.27 20.27
Closest atoms and distances in Å follow each position.
Sites, in units of the cell vectors:
W  0.8334  0.8334  0.8334  3 W 2.40
K  0.5834  0.5834  0.5834  9 W 3.75, 6 K 4.15
W  0.0000  0.0000  0.0000  6 K 3.75, 6 W 4.15
K  0.4166  0.4166  0.4166  9 W 3.75, 6 K 4.15
W  0.1666  0.1666  0.1666  3 W 2.40

***

Sorted by energy, starting with the most stable: *a*, *b*.

***

*a*
DFT (PBE) results for an optimized crystal structure of KY2W.

- symmetry = Pm, No. 6
- magnetic moment (Bohr magnetons per cell) = 0.000

Lattice parameters (Å, degrees): 5.1808 3.1447 8.3685 88.71 90.00 90.00
Closest atoms and distances in Å follow each position.
Sites, in units of the cell vectors:
Y  0.5000  0.1276  0.1705  2 W 2.93-2.97, 4 Y 3.14-3.24
W  0.5000  0.6351  0.8722  6 Y 2.93-3.10, 2 W 3.14
K  0.0000  0.6196  0.5197  2 K 3.14
Y  0.0000  0.1177  0.9376  4 W 3.06-3.10, 4 Y 3.14-3.24

***

*b*
DFT (PBE) results for an optimized crystal structure of KY2W.

- symmetry = P4/mmm, No. 123
- magnetic moment (Bohr magnetons per cell) = 0.000

Lattice parameters (Å, degrees): 5.2193 5.2193 3.9289 90.00 90.00 90.00
Closest atoms and distances in Å follow each position.
Sites, in units of the cell vectors:
K  0.5000  0.0000  0.5000  8 Y 3.27
Y  0.5000  0.5000  0.0000  4 K 3.27, 4 W 3.27
Y  0.0000  0.0000  0.0000  4 W 3.27, 4 K 3.27
W  0.0000  0.5000  0.5000  8 Y 3.27

***

Sorted by energy, starting with the most stable: *a*, *b*.

***

*a*
DFT (PBE) results for an optimized crystal structure of KY2W.

- symmetry = Imm2, No. 44
- magnetic moment (Bohr magnetons per cell) = 0.000

Lattice parameters (Å, degrees): 9.2566 9.2566 9.2566 160.03 147.79 38.19
Closest atoms and distances in Å follow each position.
Sites, in units of the cell vectors:
Y  0.1015  0.1015  0.0000  2 W 2.88, 2 Y 3.21
Y  0.7354  0.2354  0.5000  4 W 3.03, 2 Y 3.21
W  0.2379  0.7379  0.5000  6 Y 2.88-3.03, 2 W 3.21
K  0.4251  0.4251  0.0000  2 K 3.21

***

*b*
DFT (PBE) results for an optimized crystal structure of KY2W.

- symmetry = R-3m, No. 166
- magnetic moment (Bohr magnetons per cell) = 0.000

Lattice parameters (Å, degrees): 11.7955 11.7955 11.7955 17.53 17.53 17.53
Closest atoms and distances in Å follow each position.
Sites, in units of the cell vectors:
K  0.2500  0.2500  0.2500  6 K 3.60
W  0.7500  0.7500  0.7500  6 Y 2.92
Y  0.4757  0.4757  0.4757  3 W 2.92
Y  0.0243  0.0243  0.0243  3 W 2.92

***

Sorted by energy, starting with the most stable: *b*, *a*.

***

*a*
DFT (PBE) results for an optimized crystal structure of KY2W.

- symmetry = C2/m, No. 12
- magnetic moment (Bohr magnetons per cell) = 0.000

Lattice parameters (Å, degrees): 4.4903 4.4903 9.9431 86.26 86.26 43.51
Closest atoms and distances in Å follow each position.
Sites, in units of the cell vectors:
K  0.2500  0.2500  0.2500  2 K 3.33
Y  0.0207  0.0207  0.9114  3 W 2.86-2.93
Y  0.4793  0.4793  0.5886  3 W 2.86-2.93
W  0.7500  0.7500  0.7500  6 Y 2.86-2.93

***

*b*
DFT (PBE) results for an optimized crystal structure of KY2W.

- symmetry = I-4m2, No. 119
- magnetic moment (Bohr magnetons per cell) = 0.339

Lattice parameters (Å, degrees): 6.0018 6.0018 6.0018 134.27 134.27 66.66
Closest atoms and distances in Å follow each position.
Sites, in units of the cell vectors:
Y  0.0000  0.0000  0.0000  4 K 3.30, 4 Y 3.42, 4 W 3.42
W  0.7500  0.2500  0.5000  8 Y 3.30-3.42, 4 K 3.42
Y  0.2500  0.7500  0.5000  4 W 3.30, 4 K 3.42, 4 Y 3.42
K  0.5000  0.5000  0.0000  8 Y 3.30-3.42, 4 W 3.42

***

*c*
DFT (PBE) results for an optimized crystal structure of KY2W.

- symmetry = Fm-3m, No. 225
- magnetic moment (Bohr magnetons per cell) = 1.003

Lattice parameters (Å, degrees): 5.3260 5.3260 5.3260 60.00 60.00 60.00
Closest atoms and distances in Å follow each position.
Sites, in units of the cell vectors:
Y  0.7500  0.7500  0.7500  4 W 3.26, 4 K 3.26
K  0.0000  0.0000  0.0000  8 Y 3.26
W  0.5000  0.5000  0.5000  8 Y 3.26
Y  0.2500  0.2500  0.2500  4 W 3.26, 4 K 3.26

***

*d*
DFT (PBE) results for an optimized crystal structure of KY2W.

- symmetry = I-42d, No. 122
- magnetic moment (Bohr magnetons per cell) = 0.000

Lattice parameters (Å, degrees): 8.3177 8.3177 8.3228 60.02 60.02 90.00
Closest atoms and distances in Å follow each position.
Sites, in units of the cell vectors:
K  0.2500  0.7500  0.5000  12 Y 4.87-4.88, 4 W 5.10, 4 K 5.10
W  0.0000  0.0000  0.0000  4 Y 2.55
K  0.5000  0.5000  0.0000  12 Y 4.87-4.88, 4 W 5.10, 4 K 5.10
Y  0.3750  0.1259  0.7500  2 W 2.55
Y  0.8759  0.6250  0.2500  2 W 2.55
Y  0.8741  0.1250  0.2500  2 W 2.55
W  0.7500  0.2500  0.5000  4 Y 2.55
Y  0.8750  0.1241  0.7500  2 W 2.55

***

Sorted by energy, starting with the most stable: *a*, *c*, *b*, *d*.

***

*a*
DFT (PBE) results for an optimized crystal structure of KY2W.

- symmetry = Cm, No. 8
- magnetic moment (Bohr magnetons per cell) = 0.000

Lattice parameters (Å, degrees): 5.5088 5.5088 8.1363 87.12 87.12 33.40
Closest atoms and distances in Å follow each position.
Sites, in units of the cell vectors:
W  0.7420  0.7420  0.8623  5 Y 2.93-2.99, 2 W 3.17
K  0.4941  0.4941  0.5233  2 K 3.17
Y  0.2563  0.2563  0.1660  2 W 2.95, 3 Y 3.17-3.24
Y  0.0077  0.0077  0.9484  3 W 2.93-2.99, 3 Y 3.17-3.24

***

*b*
DFT (PBE) results for an optimized crystal structure of KY2W.

- symmetry = Pmm2, No. 25
- magnetic moment (Bohr magnetons per cell) = 0.037

Lattice parameters (Å, degrees): 3.2545 4.6837 8.6957 90.00 90.00 90.00
Closest atoms and distances in Å follow each position.
Sites, in units of the cell vectors:
W  0.5000  0.5000  0.8394  5 Y 2.92-3.01, 2 W 3.25
K  0.0000  0.0000  0.5361  2 K 3.25, 1 Y 3.59
Y  0.5000  0.5000  0.1758  1 W 2.92, 2 Y 3.25
Y  0.0000  0.0000  0.9488  4 W 3.01, 2 Y 3.25

***

Sorted by energy, starting with the most stable: *a*, *b*.

***

*a*
DFT (PBE) results for an optimized crystal structure of KY2W.

- symmetry = P4/mmm, No. 123
- magnetic moment (Bohr magnetons per cell) = 0.001

Lattice parameters (Å, degrees): 3.5010 3.5041 10.8115 90.00 90.00 90.00
Closest atoms and distances in Å follow each position.
Sites, in units of the cell vectors:
Y  0.0000  0.0000  0.5900  4 W 3.02
Y  0.0000  0.0000  0.9100  4 W 3.02
K  0.5000  0.5000  0.2500  4 K 3.50
W  0.5000  0.5000  0.7500  8 Y 3.02

***

*b*
DFT (PBE) results for an optimized crystal structure of KY2W.

- symmetry = F-43m, No. 216
- magnetic moment (Bohr magnetons per cell) = 1.982

Lattice parameters (Å, degrees): 5.4061 5.4061 5.4061 60.00 60.00 60.00
Closest atoms and distances in Å follow each position.
Sites, in units of the cell vectors:
Y  0.2500  0.2500  0.2500  4 Y 3.31, 4 K 3.31
K  0.5000  0.5000  0.5000  4 Y 3.31, 4 W 3.31
W  0.7500  0.7500  0.7500  4 K 3.31, 4 Y 3.31
Y  0.0000  0.0000  0.0000  4 W 3.31, 4 Y 3.31

***

*c*
DFT (PBE) results for an optimized crystal structure of KY2W.

- symmetry = P4mm, No. 99
- magnetic moment (Bohr magnetons per cell) = 0.000

Lattice parameters (Å, degrees): 3.8695 3.8695 9.0308 90.00 90.00 90.00
Closest atoms and distances in Å follow each position.
Sites, in units of the cell vectors:
W  0.5000  0.5000  0.8402  5 Y 2.90-2.97
Y  0.5000  0.5000  0.1689  1 W 2.97
K  0.0000  0.0000  0.5455  1 Y 3.61, 4 W 3.82, 4 K 3.87
Y  0.0000  0.0000  0.9454  4 W 2.90

***

*d*
DFT (PBE) results for an optimized crystal structure of KY2W.

- symmetry = Cmmm, No. 65
- magnetic moment (Bohr magnetons per cell) = 0.000

Lattice parameters (Å, degrees): 5.7796 7.9265 3.2728 65.65 89.98 124.68
Closest atoms and distances in Å follow each position.
Sites, in units of the cell vectors:
Y  0.0000  0.5000  0.5000  4 Y 3.27-3.61, 4 W 3.32, 4 K 3.32
K  0.5000  0.5000  0.0000  2 K 3.27, 8 Y 3.32, 2 W 3.61
Y  0.0000  0.0000  0.0000  4 Y 3.27-3.61, 4 K 3.32, 4 W 3.32
W  0.5000  0.0000  0.5000  2 W 3.27, 8 Y 3.32, 2 K 3.61

***

Sorted by energy, starting with the most stable: *a*, *c*, *d*, *b*.

***

*a*
DFT (PBE) results for an optimized crystal structure of KZnW3.

- symmetry = Pm-3m, No. 221
- magnetic moment (Bohr magnetons per cell) = 0.000

Lattice parameters (Å, degrees): 4.7641 4.7641 4.7641 90.00 90.00 90.00
Closest atoms and distances in Å follow each position.
Sites, in units of the cell vectors:
W  0.0000  0.5000  0.0000  2 Zn 2.38
W  0.5000  0.0000  0.0000  2 Zn 2.38
K  0.5000  0.5000  0.5000  12 W 3.37
Zn  0.0000  0.0000  0.0000  6 W 2.38
W  0.0000  0.0000  0.5000  2 Zn 2.38

***

*b*
DFT (PBE) results for an optimized crystal structure of KZnW3.

- symmetry = Pm-3m, No. 221
- magnetic moment (Bohr magnetons per cell) = 0.000

Lattice parameters (Å, degrees): 4.5404 4.5404 4.5404 90.00 90.00 90.00
Closest atoms and distances in Å follow each position.
Sites, in units of the cell vectors:
K  0.0000  0.0000  0.0000  6 W 2.27
W  0.5000  0.0000  0.0000  2 K 2.27
W  0.0000  0.0000  0.5000  2 K 2.27
W  0.0000  0.5000  0.0000  2 K 2.27
Zn  0.5000  0.5000  0.5000  12 W 3.21

***

Sorted by energy, starting with the most stable: *a*, *b*.

***

*a*
DFT (PBE) results for an optimized crystal structure of KZn3W.

- symmetry = Pm-3m, No. 221
- magnetic moment (Bohr magnetons per cell) = 0.000

Lattice parameters (Å, degrees): 4.8623 4.8623 4.8623 90.00 90.00 90.00
Closest atoms and distances in Å follow each position.
Sites, in units of the cell vectors:
Zn  0.0000  0.5000  0.0000  2 K 2.43
Zn  0.5000  0.0000  0.0000  2 K 2.43
W  0.5000  0.5000  0.5000  12 Zn 3.44
Zn  0.0000  0.0000  0.5000  2 K 2.43
K  0.0000  0.0000  0.0000  6 Zn 2.43

***

*b*
DFT (PBE) results for an optimized crystal structure of KZn3W.

- symmetry = Pm-3m, No. 221
- magnetic moment (Bohr magnetons per cell) = 1.784

Lattice parameters (Å, degrees): 5.0919 5.0919 5.0919 90.00 90.00 90.00
Closest atoms and distances in Å follow each position.
Sites, in units of the cell vectors:
Zn  0.0000  0.5000  0.0000  2 W 2.55
W  0.0000  0.0000  0.0000  6 Zn 2.55
Zn  0.5000  0.0000  0.0000  2 W 2.55
Zn  0.0000  0.0000  0.5000  2 W 2.55
K  0.5000  0.5000  0.5000  12 Zn 3.60

***

Sorted by energy, starting with the most stable: *b*, *a*.

***

*a*
DFT (PBE) results for an optimized crystal structure of KZr2W.

- symmetry = Imm2, No. 44
- magnetic moment (Bohr magnetons per cell) = 0.000

Lattice parameters (Å, degrees): 8.6674 8.6674 8.6674 157.79 149.54 38.02
Closest atoms and distances in Å follow each position.
Sites, in units of the cell vectors:
K  0.5710  0.5710  0.0000  2 K 3.34, 2 W 3.62
Zr  0.8933  0.8933  0.0000  2 W 2.65
W  0.7673  0.2673  0.5000  6 Zr 2.65-2.82
Zr  0.2685  0.7685  0.5000  4 W 2.82, 2 Zr 3.06

***

*b*
DFT (PBE) results for an optimized crystal structure of KZr2W.

- symmetry = Cm, No. 8
- magnetic moment (Bohr magnetons per cell) = 0.000

Lattice parameters (Å, degrees): 5.2771 5.2771 7.6380 88.14 88.14 33.23
Closest atoms and distances in Å follow each position.
Sites, in units of the cell vectors:
K  0.5010  0.5010  0.4861  2 K 3.02
Zr  0.7391  0.7391  0.8464  2 W 2.74, 3 Zr 3.01-3.02
W  0.2604  0.2604  0.1427  5 Zr 2.74-2.96, 2 W 3.02
Zr  0.9995  0.9995  0.0248  3 W 2.82-2.96, 5 Zr 3.01-3.13

***

*c*
DFT (PBE) results for an optimized crystal structure of KZr2W.

- symmetry = Cmmm, No. 65
- magnetic moment (Bohr magnetons per cell) = 0.000

Lattice parameters (Å, degrees): 6.0064 6.0064 2.7315 90.00 90.00 113.30
Closest atoms and distances in Å follow each position.
Sites, in units of the cell vectors:
K  0.5000  0.0000  0.5000  2 K 2.73
W  0.0000  0.5000  0.5000  2 W 2.73
Zr  0.0000  0.0000  0.0000  2 Zr 2.73
Zr  0.5000  0.5000  0.0000  2 Zr 2.73

***

Sorted by energy, starting with the most stable: *a*, *b*, *c*.

***

*a*
DFT (PBE) results for an optimized crystal structure of K3ZrW.

- symmetry = Pm-3m, No. 221
- magnetic moment (Bohr magnetons per cell) = 0.004

Lattice parameters (Å, degrees): 6.0435 6.0435 6.0435 90.00 90.00 90.00
Closest atoms and distances in Å follow each position.
Sites, in units of the cell vectors:
W  0.0000  0.0000  0.0000  6 K 3.02
K  0.0000  0.5000  0.0000  2 W 3.02
K  0.0000  0.0000  0.5000  2 W 3.02
K  0.5000  0.0000  0.0000  2 W 3.02
Zr  0.5000  0.5000  0.5000  12 K 4.27

***

*b*
DFT (PBE) results for an optimized crystal structure of K3ZrW.

- symmetry = Pm-3m, No. 221
- magnetic moment (Bohr magnetons per cell) = 5.489

Lattice parameters (Å, degrees): 6.5883 6.5883 6.5883 90.00 90.00 90.00
Closest atoms and distances in Å follow each position.
Sites, in units of the cell vectors:
K  0.0000  0.0000  0.5000  2 Zr 3.29
K  0.0000  0.5000  0.0000  2 Zr 3.29
Zr  0.0000  0.0000  0.0000  6 K 3.29
K  0.5000  0.0000  0.0000  2 Zr 3.29
W  0.5000  0.5000  0.5000  12 K 4.66

***

Sorted by energy, starting with the most stable: *b*, *a*.